Entry from Alexandria: a relaxed structure of La7BeI12 (PBE).

abc: 10.993 10.118 10.118
angles: 107.65 111.23 111.23
Positions (direct):
I: 0.924 0.153 0.610
I: 0.686 0.610 0.457
I: 0.476 0.083 0.320
I: 0.771 0.457 0.847
I: 0.524 0.917 0.680
I: 0.845 0.320 0.238
I: 0.393 0.238 0.917
I: 0.229 0.543 0.153
I: 0.076 0.847 0.390
I: 0.314 0.390 0.543
I: 0.607 0.762 0.083
I: 0.155 0.680 0.762
La: 0.036 0.927 0.720
La: 0.685 0.720 0.793
La: 0.315 0.280 0.207
La: 0.964 0.073 0.280
La: 0.500 0.000 0.000
La: 0.892 0.207 0.927
La: 0.108 0.793 0.073
Be: 0.000 0.000 0.000

Fermi-level density of states (states/eV per atom): 0.6035
E_tot (eV per atom): -4.09
E_form (uncorrected) (eV per atom): -1.25
Space-group type: R-3, No. 148